14
Lattice="6.8226 0.0000 0.0000 3.4113 6.2307 -0.0411 3.4113 1.8590 5.9471" Properties=species:S:1:pos:R:3 comment="KBaSO4 PBE-GGA relaxed" rho_g_cm3=3.57 e_form_raw_ev_per_atom=-1.680 crystal_system=orthorhombic pbc="T T T"
K 5.1170 0.9295 2.9735
K 1.7057 0.9295 2.9735
Ba 0.0000 0.0000 0.0000
Ba 3.4113 4.0449 2.9530
S 6.8226 4.0783 0.6824
S 6.8226 4.0115 5.2236
O 10.2339 5.9762 5.1321
O 6.8226 5.4259 4.7303
O 6.8226 2.6639 1.1756
O 3.4113 2.1136 0.7739
O 5.5982 4.7921 1.2035
O 8.0470 4.7921 1.2035
O 5.5982 3.2977 4.7024
O 8.0470 3.2977 4.7024